Version 1
# TiMn3Re GGA-PBE relaxed
# Density of states at the Fermi level   1.6324 states/eV per atom
data_TiMn3Re
_cell_length_a 4.139
_cell_length_b 4.139
_cell_length_c 4.139
_cell_angle_alpha 90.00
_cell_angle_beta 90.00
_cell_angle_gamma 90.00
_space_group_name_H-M_alt 'P m -3 m'
_space_group_IT_number 221
_space_group_name_Hall '-P 4 2 3'
loop_
_atom_site_label
_atom_site_type_symbol
_atom_site_fract_x
_atom_site_fract_y
_atom_site_fract_z
Ti1 Ti 0.000 0.000 0.000
Mn1 Mn 0.000 0.000 0.500
Re1 Re 0.500 0.500 0.500

=====

Version 2
# TiMn3Re GGA-PBE relaxed
# Density of states at the Fermi level   0.6191 states/eV per atom
data_TiMn3Re
_cell_length_a 4.556
_cell_length_b 4.556
_cell_length_c 4.556
_cell_angle_alpha 90.00
_cell_angle_beta 90.00
_cell_angle_gamma 90.00
_space_group_name_H-M_alt 'P m -3 m'
_space_group_IT_number 221
_space_group_name_Hall '-P 4 2 3'
loop_
_atom_site_label
_atom_site_type_symbol
_atom_site_fract_x
_atom_site_fract_y
_atom_site_fract_z
Ti1 Ti 0.000 0.000 0.000
Mn1 Mn 0.000 0.500 0.500
Re1 Re 0.500 0.500 0.500

=====

Most stable of them? version 2.